[1]
VASP calculation (PBE) on a geometry-optimized CsRb4Br4 structure.

The calculation puts the magnetization at 0.031 Bohr magnetons per cell. The value obtained for the density of states at the Fermi level is 4.16 states/eV/cell.

It has space group C2/m (No. 12), with a = 16.882 Å, b = 4.987 Å, c = 12.461 Å, α = 90.00°, β = 120.04° and γ = 90.00°. The inequivalent atoms are Cs at (0.000, 0.000, 0.000), Rb at (0.102, 0.500, 0.397), Rb at (0.202, 0.000, 0.802), Br at (0.104, 0.500, 0.895) and Br at (0.204, 0.000, 0.306).

[2]
VASP calculation (PBE) on a geometry-optimized Cs7Rb4Br structure.

The calculation puts the magnetization at 0.000 Bohr magnetons per cell. The value obtained for the density of states at the Fermi level is 19.96 states/eV/cell.

It has space group C2/m (No. 12), with a = 17.046 Å, b = 7.446 Å, c = 18.598 Å, α = 90.00°, β = 103.48° and γ = 90.00°. The inequivalent atoms are Cs at (0.000, 0.000, 0.000), Cs at (0.088, 0.000, 0.644), Cs at (0.138, 0.500, 0.449), Cs at (0.213, 0.500, 0.092), Rb at (0.049, 0.500, 0.824), Rb at (0.186, 0.000, 0.273) and Br at (0.000, 0.500, 0.000).

[3]
VASP calculation (PBE) on a geometry-optimized Cs2RbBr structure.

The calculation puts the magnetization at 0.000 Bohr magnetons per cell. The energy above the most stable polymorph in this dataset comes out at 36 meV per atom. The value obtained for the density of states at the Fermi level is 2.44 states/eV/cell.

It has space group P4/mmm (No. 123), with a = 4.629 Å, b = 4.629 Å, c = 12.792 Å, α = 90.00°, β = 90.00° and γ = 90.00°. The inequivalent atoms are Cs at (0.000, 0.000, 0.165), Rb at (0.500, 0.500, 0.500) and Br at (0.500, 0.500, 0.000).

[4]
VASP calculation (PBE) on a geometry-optimized Cs12Rb6Br structure.

The calculation puts the magnetization at 0.000 Bohr magnetons per cell. The value obtained for the density of states at the Fermi level is 57.07 states/eV/cell.

It has space group R-3 (No. 148, hexagonal axes), with a = 15.9339 Å, b = 15.9339 Å, c = 25.7089 Å, α = 90.00°, β = 90.00° and γ = 120.00°. The inequivalent atoms are Cs at (0.1083, 0.8913, 0.4149), Cs at (0.1110, 0.5560, 0.7506), Rb at (0.1093, 0.2192, 0.7528) and Br at (0.0000, 0.0000, 0.5000).

Number 1: energy -2.797 eV/atom. Number 2: energy -1.234 eV/atom. Number 3: energy -1.908 eV/atom. Number 4: energy -1.105 eV/atom.